DFT (PBE-GGA) results for crystalline PrThCo at its relaxed geometry.

The structure belongs to space group F-43m (No. 216); the cell edges are 6.787, 6.787 and 6.787 Å and the angles 90.00°, 90.00° and 90.00°. Symmetry generates all atoms from Pr at (0.000, 0.000, 0.000), Th at (0.250, 0.250, 0.250) and Co at (0.000, 0.000, 0.500).

For the energy of formation, the calculation gives 0.76 eV/atom. Its total energy is -5.67 eV/atom.